## PrNd2RuN4 (PBE)

Data for a relaxed structure of PrNd2RuN4.

**Uncorrected energy**: -7.944 eV/atom
**Fermi-level density of states**: 2.3 states/eV/f.u.

The structure in CIF format:
```
data_PrNd2RuN4
_space_group_name_H-M_alt 'C m c m'
_space_group_IT_number 63
_space_group_name_Hall '-C 2c 2'
_cell_length_a 3.522
_cell_length_b 12.044
_cell_length_c 12.102
_cell_angle_alpha 90.00
_cell_angle_beta 90.00
_cell_angle_gamma 90.00
loop_
_atom_site_label
_atom_site_type_symbol
_atom_site_fract_x
_atom_site_fract_y
_atom_site_fract_z
Pr1 Pr 0.000 0.120 0.250
Nd1 Nd 0.000 0.368 0.043
Ru1 Ru 0.000 0.148 0.750
N1 N 0.000 0.000 0.000
N2 N 0.000 0.271 0.635
N3 N 0.000 0.431 0.250
```

---

## PrNdSN (PBE)

Data for a relaxed structure of PrNdSN.

**Uncorrected energy**: -7.204 eV/atom
**Fermi-level density of states**: 1.1 states/eV/f.u.

The structure in CIF format:
```
data_PrNdSN
_space_group_name_H-M_alt 'R 3 m'
_space_group_IT_number 160
_space_group_name_Hall 'R 3 -2"'
_cell_length_a 3.8030
_cell_length_b 3.8030
_cell_length_c 19.7979
_cell_angle_alpha 90.00
_cell_angle_beta 90.00
_cell_angle_gamma 120.00
loop_
_atom_site_label
_atom_site_type_symbol
_atom_site_fract_x
_atom_site_fract_y
_atom_site_fract_z
Pr1 Pr 0.0000 0.0000 0.0000
Nd1 Nd 0.0000 0.0000 0.5258
S1 S 0.0000 0.0000 0.7638
N1 N 0.0000 0.0000 0.2615
```

---

## Pr2Nd4Sb3N2 (PBE)

Data for a relaxed structure of Pr2Nd4Sb3N2.

**Uncorrected energy**: -6.377 eV/atom
**Fermi-level density of states**: 5.1 states/eV/f.u.

The structure in CIF format:
```
data_Pr2Nd4Sb3N2
_space_group_name_H-M_alt 'I 4/m m m'
_space_group_IT_number 139
_space_group_name_Hall '-I 4 2'
_cell_length_a 4.828
_cell_length_b 4.828
_cell_length_c 26.211
_cell_angle_alpha 90.00
_cell_angle_beta 90.00
_cell_angle_gamma 90.00
loop_
_atom_site_label
_atom_site_type_symbol
_atom_site_fract_x
_atom_site_fract_y
_atom_site_fract_z
Pr1 Pr 0.000 0.000 0.193
Nd1 Nd 0.000 0.500 0.083
Sb1 Sb 0.000 0.000 0.322
Sb2 Sb 0.000 0.000 0.500
N1 N 0.000 0.000 0.104
```